*one*
Computed, not measured: a relaxed CdSbP2 crystal at the PBE-GGA level of DFT.

The structure in CIF format:
```
data_CdSbP2
_space_group_name_H-M_alt 'F -4 3 m'
_space_group_IT_number 216
_space_group_name_Hall 'F -4 2 3'
_cell_length_a 6.873
_cell_length_b 6.873
_cell_length_c 6.873
_cell_angle_alpha 90.00
_cell_angle_beta 90.00
_cell_angle_gamma 90.00
loop_
_atom_site_label
_atom_site_type_symbol
_atom_site_fract_x
_atom_site_fract_y
_atom_site_fract_z
Cd1 Cd 0.000 0.000 0.000
Sb1 Sb 0.250 0.250 0.250
P1 P 0.000 0.000 0.500
P2 P 0.250 0.250 0.750
```

Values from the calculation:
* V: 20.3 A^3/atom
* DOS(E_F): 7.910 states/eV per cell

***

*two*
Computed, not measured: a relaxed CdSbP2 crystal at the PBE-GGA level of DFT.

The structure in CIF format:
```
data_CdSbP2
_space_group_name_H-M_alt 'P 1 2/m 1'
_space_group_IT_number 10
_space_group_name_Hall '-P 2y'
_cell_length_a 2.922
_cell_length_b 3.830
_cell_length_c 7.751
_cell_angle_alpha 90.00
_cell_angle_beta 100.08
_cell_angle_gamma 90.00
loop_
_atom_site_label
_atom_site_type_symbol
_atom_site_fract_x
_atom_site_fract_y
_atom_site_fract_z
Cd1 Cd 0.000 0.000 0.000
Sb1 Sb 0.000 0.000 0.500
P1 P 0.137 0.500 0.758
```

Values from the calculation:
* V: 21.4 A^3/atom
* DOS(E_F): 2.116 states/eV per cell

***

Most stable structure, least stable structure: *two*, *one*.

***

*one*
Computed, not measured: a relaxed CdSbP2 crystal at the PBE-GGA level of DFT.

The structure in CIF format:
```
data_CdSbP2
_space_group_name_H-M_alt 'I -4 2 d'
_space_group_IT_number 122
_space_group_name_Hall 'I -4 2bw'
_cell_length_a 5.984
_cell_length_b 5.984
_cell_length_c 12.434
_cell_angle_alpha 90.00
_cell_angle_beta 90.00
_cell_angle_gamma 90.00
loop_
_atom_site_label
_atom_site_type_symbol
_atom_site_fract_x
_atom_site_fract_y
_atom_site_fract_z
Cd1 Cd 0.000 0.000 0.000
Sb1 Sb 0.000 0.000 0.500
P1 P 0.250 0.250 0.125
```

Values from the calculation:
* V: 27.8 A^3/atom
* DOS(E_F): 11.164 states/eV per cell

***

*two*
Computed, not measured: a relaxed CdSbP2 crystal at the PBE-GGA level of DFT.

The structure in CIF format:
```
data_CdSbP2
_space_group_name_H-M_alt 'R 3 m'
_space_group_IT_number 160
_space_group_name_Hall 'R 3 -2"'
_cell_length_a 3.3776
_cell_length_b 3.3776
_cell_length_c 25.9632
_cell_angle_alpha 90.00
_cell_angle_beta 90.00
_cell_angle_gamma 120.00
loop_
_atom_site_label
_atom_site_type_symbol
_atom_site_fract_x
_atom_site_fract_y
_atom_site_fract_z
Cd1 Cd 0.0000 0.0000 0.0000
Sb1 Sb 0.0000 0.0000 0.2378
P1 P 0.0000 0.0000 0.4688
P2 P 0.0000 0.0000 0.7548
```

Values from the calculation:
* V: 21.4 A^3/atom
* DOS(E_F): 5.257 states/eV per cell

***

Most stable structure, least stable structure: *two*, *one*.

***

*one*
Computed, not measured: a relaxed CdSbP2 crystal at the PBE-GGA level of DFT.

The structure in CIF format:
```
data_CdSbP2
_space_group_name_H-M_alt 'P 4 m m'
_space_group_IT_number 99
_space_group_name_Hall 'P 4 -2'
_cell_length_a 3.797
_cell_length_b 3.797
_cell_length_c 6.310
_cell_angle_alpha 90.00
_cell_angle_beta 90.00
_cell_angle_gamma 90.00
loop_
_atom_site_label
_atom_site_type_symbol
_atom_site_fract_x
_atom_site_fract_y
_atom_site_fract_z
Cd1 Cd 0.000 0.000 0.000
Sb1 Sb 0.500 0.500 0.489
P1 P 0.000 0.000 0.578
P2 P 0.500 0.500 0.087
```

Values from the calculation:
* V: 22.7 A^3/atom
* DOS(E_F): 1.906 states/eV per cell

***

*two*
Computed, not measured: a relaxed CdSbP2 crystal at the PBE-GGA level of DFT.

The structure in CIF format:
```
data_CdSbP2
_space_group_name_H-M_alt 'P 4/m m m'
_space_group_IT_number 123
_space_group_name_Hall '-P 4 2'
_cell_length_a 4.806
_cell_length_b 4.806
_cell_length_c 3.466
_cell_angle_alpha 90.00
_cell_angle_beta 90.00
_cell_angle_gamma 90.00
loop_
_atom_site_label
_atom_site_type_symbol
_atom_site_fract_x
_atom_site_fract_y
_atom_site_fract_z
Cd1 Cd 0.000 0.000 0.000
Sb1 Sb 0.500 0.500 0.000
P1 P 0.000 0.500 0.500
```

Values from the calculation:
* V: 20.0 A^3/atom
* DOS(E_F): 2.012 states/eV per cell

***

*three*
Computed, not measured: a relaxed CdSbP2 crystal at the PBE-GGA level of DFT.

The structure in CIF format:
```
data_CdSbP2
_space_group_name_H-M_alt 'P 4/m m m'
_space_group_IT_number 123
_space_group_name_Hall '-P 4 2'
_cell_length_a 3.785
_cell_length_b 3.785
_cell_length_c 5.963
_cell_angle_alpha 90.00
_cell_angle_beta 90.00
_cell_angle_gamma 90.00
loop_
_atom_site_label
_atom_site_type_symbol
_atom_site_fract_x
_atom_site_fract_y
_atom_site_fract_z
Cd1 Cd 0.000 0.000 0.000
Sb1 Sb 0.000 0.000 0.500
P1 P 0.500 0.500 0.188
```

Values from the calculation:
* V: 21.4 A^3/atom
* DOS(E_F): 3.037 states/eV per cell

***

*four*
Computed, not measured: a relaxed CdSbP2 crystal at the PBE-GGA level of DFT.

The structure in CIF format:
```
data_CdSbP2
_space_group_name_H-M_alt 'C m m 2'
_space_group_IT_number 35
_space_group_name_Hall 'C 2 -2'
_cell_length_a 3.206
_cell_length_b 6.391
_cell_length_c 9.183
_cell_angle_alpha 90.00
_cell_angle_beta 90.00
_cell_angle_gamma 90.00
loop_
_atom_site_label
_atom_site_type_symbol
_atom_site_fract_x
_atom_site_fract_y
_atom_site_fract_z
Cd1 Cd 0.000 0.000 0.000
Sb1 Sb 0.000 0.500 0.286
P1 P 0.000 0.000 0.583
P2 P 0.000 0.500 0.737
```

Values from the calculation:
* V: 23.5 A^3/atom
* DOS(E_F): 4.065 states/eV per cell

***

Most stable structure, least stable structure: *one*, *two*.

***

*one*
Computed, not measured: a relaxed Cd2SbP2 crystal at the PBE-GGA level of DFT.

The structure in CIF format:
```
data_Cd2SbP2
_space_group_name_H-M_alt 'I 4/m m m'
_space_group_IT_number 139
_space_group_name_Hall '-I 4 2'
_cell_length_a 4.203
_cell_length_b 4.203
_cell_length_c 12.445
_cell_angle_alpha 90.00
_cell_angle_beta 90.00
_cell_angle_gamma 90.00
loop_
_atom_site_label
_atom_site_type_symbol
_atom_site_fract_x
_atom_site_fract_y
_atom_site_fract_z
Cd1 Cd 0.000 0.500 0.250
Sb1 Sb 0.000 0.000 0.000
P1 P 0.000 0.000 0.403
```

Values from the calculation:
* V: 22.0 A^3/atom
* DOS(E_F): 5.636 states/eV per cell

***

*two*
Computed, not measured: a relaxed Cd2SbP2 crystal at the PBE-GGA level of DFT.

The structure in CIF format:
```
data_Cd2SbP2
_space_group_name_H-M_alt 'I 4/m m m'
_space_group_IT_number 139
_space_group_name_Hall '-I 4 2'
_cell_length_a 3.419
_cell_length_b 3.419
_cell_length_c 18.641
_cell_angle_alpha 90.00
_cell_angle_beta 90.00
_cell_angle_gamma 90.00
loop_
_atom_site_label
_atom_site_type_symbol
_atom_site_fract_x
_atom_site_fract_y
_atom_site_fract_z
Cd1 Cd 0.000 0.000 0.117
Sb1 Sb 0.000 0.000 0.500
P1 P 0.000 0.500 0.250
```

Values from the calculation:
* V: 21.8 A^3/atom
* DOS(E_F): 2.941 states/eV per cell

***

*three*
Computed, not measured: a relaxed Cd2SbP2 crystal at the PBE-GGA level of DFT.

The structure in CIF format:
```
data_Cd2SbP2
_space_group_name_H-M_alt 'P 4/m b m'
_space_group_IT_number 127
_space_group_name_Hall '-P 4 2ab'
_cell_length_a 7.668
_cell_length_b 7.668
_cell_length_c 3.693
_cell_angle_alpha 90.00
_cell_angle_beta 90.00
_cell_angle_gamma 90.00
loop_
_atom_site_label
_atom_site_type_symbol
_atom_site_fract_x
_atom_site_fract_y
_atom_site_fract_z
Cd1 Cd 0.134 0.366 0.000
Sb1 Sb 0.000 0.000 0.500
P1 P 0.181 0.681 0.500
```

Values from the calculation:
* V: 21.7 A^3/atom
* DOS(E_F): 4.476 states/eV per cell

***

Most stable structure, least stable structure: *two*, *one*.

***

*one*
Computed, not measured: a relaxed Cd3SbP crystal at the PBE-GGA level of DFT.

The structure in CIF format:
```
data_Cd3SbP
_space_group_name_H-M_alt 'P m -3 m'
_space_group_IT_number 221
_space_group_name_Hall '-P 4 2 3'
_cell_length_a 5.540
_cell_length_b 5.540
_cell_length_c 5.540
_cell_angle_alpha 90.00
_cell_angle_beta 90.00
_cell_angle_gamma 90.00
loop_
_atom_site_label
_atom_site_type_symbol
_atom_site_fract_x
_atom_site_fract_y
_atom_site_fract_z
Cd1 Cd 0.000 0.000 0.500
Sb1 Sb 0.000 0.000 0.000
P1 P 0.500 0.500 0.500
```

Values from the calculation:
* V: 34.0 A^3/atom
* DOS(E_F): 3.573 states/eV per cell

***

*two*
Computed, not measured: a relaxed Cd3SbP crystal at the PBE-GGA level of DFT.

The structure in CIF format:
```
data_Cd3SbP
_space_group_name_H-M_alt 'P 1 21/m 1'
_space_group_IT_number 11
_space_group_name_Hall '-P 2yb'
_cell_length_a 7.105
_cell_length_b 4.685
_cell_length_c 9.239
_cell_angle_alpha 90.00
_cell_angle_beta 100.02
_cell_angle_gamma 90.00
loop_
_atom_site_label
_atom_site_type_symbol
_atom_site_fract_x
_atom_site_fract_y
_atom_site_fract_z
Cd1 Cd 0.005 0.250 0.112
Cd2 Cd 0.011 0.750 0.371
Cd3 Cd 0.468 0.750 0.858
Sb1 Sb 0.291 0.750 0.155
P1 P 0.166 0.750 0.660
```

Values from the calculation:
* V: 30.3 A^3/atom
* DOS(E_F): 0.374 states/eV per cell

***

Most stable structure, least stable structure: *two*, *one*.

***

*one*
Computed, not measured: a relaxed Cd4SbP crystal at the PBE-GGA level of DFT.

The structure in CIF format:
```
data_Cd4SbP
_space_group_name_H-M_alt 'C 1 2/m 1'
_space_group_IT_number 12
_space_group_name_Hall '-C 2y'
_cell_length_a 7.215
_cell_length_b 6.442
_cell_length_c 6.850
_cell_angle_alpha 90.00
_cell_angle_beta 100.64
_cell_angle_gamma 90.00
loop_
_atom_site_label
_atom_site_type_symbol
_atom_site_fract_x
_atom_site_fract_y
_atom_site_fract_z
Cd1 Cd 0.240 0.224 0.226
Sb1 Sb 0.000 0.000 0.500
P1 P 0.000 0.500 0.000
```

Values from the calculation:
* V: 26.1 A^3/atom
* DOS(E_F): 3.093 states/eV per cell

***

*two*
Computed, not measured: a relaxed Cd4SbP crystal at the PBE-GGA level of DFT.

The structure in CIF format:
```
data_Cd4SbP
_space_group_name_H-M_alt 'F -4 3 m'
_space_group_IT_number 216
_space_group_name_Hall 'F -4 2 3'
_cell_length_a 8.226
_cell_length_b 8.226
_cell_length_c 8.226
_cell_angle_alpha 90.00
_cell_angle_beta 90.00
_cell_angle_gamma 90.00
loop_
_atom_site_label
_atom_site_type_symbol
_atom_site_fract_x
_atom_site_fract_y
_atom_site_fract_z
Cd1 Cd 0.125 0.125 0.125
Sb1 Sb 0.000 0.000 0.500
P1 P 0.250 0.250 0.750
```

Values from the calculation:
* V: 23.2 A^3/atom
* DOS(E_F): 19.401 states/eV per cell

***

Most stable structure, least stable structure: *one*, *two*.